! meta-GGA SCAN LiCo4O8, PBEsol geometry; values from VASP
! - ρ: 5.04 g/cm3
! - Formation energy without anion corrections: -1319 meV/atom
! - Energy: -10.66 eV/atom
! - Distance to the lowest polymorph of the same formula: 22.4 kJ/mol of formula units
&SYSTEM
  ibrav = 0, nat = 26, ntyp = 3
/
ATOMIC_SPECIES
Co 58.93 Co.upf
O 16.00 O.upf
Li 6.94 Li.upf
CELL_PARAMETERS angstrom
-3.140 -4.187 2.010
1.664 -5.314 -0.650
3.925 -2.737 8.248
ATOMIC_POSITIONS crystal
Co 0.250 0.250 0.750
Co 0.750 0.750 0.250
Co 0.000 0.000 0.000
Co 0.250 0.750 0.250
Co 0.500 0.500 0.500
Co 0.750 0.250 0.250
Co 0.750 0.250 0.750
Co 0.250 0.750 0.750
O 0.883 0.883 0.352
O 0.617 0.617 0.148
O 0.605 0.158 0.633
O 0.104 0.104 0.133
O 0.896 0.342 0.867
O 0.395 0.395 0.367
O 0.104 0.658 0.133
O 0.158 0.605 0.633
O 0.342 0.896 0.867
O 0.842 0.395 0.367
O 0.605 0.605 0.633
O 0.658 0.104 0.133
O 0.395 0.842 0.367
O 0.383 0.383 0.852
O 0.117 0.117 0.648
O 0.896 0.896 0.867
Li 0.749 0.749 0.754
Li 0.251 0.251 0.246



! meta-GGA SCAN Li3Co13O16, PBEsol geometry; values from VASP
! - ρ: 5.98 g/cm3
! - Formation energy without anion corrections: -1259 meV/atom
! - Energy: -11.63 eV/atom
&SYSTEM
  ibrav = 0, nat = 32, ntyp = 3
/
ATOMIC_SPECIES
O 16.00 O.upf
Co 58.93 Co.upf
Li 6.94 Li.upf
CELL_PARAMETERS angstrom
5.242 -0.519 -0.126
-0.569 5.845 0.538
0.387 2.321 9.754
ATOMIC_POSITIONS crystal
O 0.352 0.414 0.615
O 0.770 0.737 0.605
O 0.026 0.132 0.122
O 0.230 0.263 0.395
O 0.528 0.857 0.117
O 0.079 0.598 0.150
O 0.485 0.596 0.842
O 0.648 0.586 0.385
O 0.974 0.868 0.878
O 0.515 0.404 0.158
O 0.690 0.091 0.404
O 0.775 0.252 0.640
O 0.921 0.402 0.850
O 0.472 0.143 0.883
O 0.225 0.748 0.360
O 0.310 0.909 0.596
Co 0.637 0.431 0.735
Co 0.922 0.799 0.247
Co 0.247 0.855 0.998
Co 0.342 0.311 0.001
Co 0.167 0.703 0.789
Co 0.363 0.569 0.265
Co 0.658 0.689 0.999
Co 0.833 0.297 0.211
Co 0.078 0.201 0.753
Co 0.489 0.752 0.492
Co 0.753 0.145 0.002
Co 0.000 0.000 0.500
Co 0.511 0.248 0.508
Li 0.000 0.500 0.500
Li 0.652 0.912 0.721
Li 0.348 0.088 0.279



! meta-GGA SCAN LiCo4O8, PBEsol geometry; values from VASP
! - ρ: 4.78 g/cm3
! - Formation energy without anion corrections: -1336 meV/atom
! - Energy: -10.68 eV/atom
! - Distance to the lowest polymorph of the same formula: 0.0 kJ/mol of formula units
&SYSTEM
  ibrav = 0, nat = 26, ntyp = 3
/
ATOMIC_SPECIES
O 16.00 O.upf
Co 58.93 Co.upf
Li 6.94 Li.upf
CELL_PARAMETERS angstrom
-4.259 -0.512 3.528
1.448 -5.521 0.947
4.620 2.734 5.975
ATOMIC_POSITIONS crystal
O 0.000 0.036 0.733
O 0.752 0.716 0.018
O 0.248 0.284 0.982
O 0.500 0.536 0.233
O 0.248 0.716 0.018
O 0.252 0.216 0.518
O 0.252 0.784 0.482
O 0.748 0.216 0.518
O 0.500 0.464 0.767
O 0.752 0.284 0.982
O 0.000 0.538 0.231
O 0.500 0.962 0.269
O 0.000 0.462 0.769
O 0.500 0.038 0.731
O 0.000 0.964 0.267
O 0.748 0.784 0.482
Co 0.500 0.500 0.000
Co 0.000 0.000 0.500
Co 0.750 0.750 0.250
Co 0.250 0.750 0.250
Co 0.250 0.250 0.750
Co 0.500 0.000 0.500
Co 0.000 0.500 0.000
Co 0.750 0.250 0.750
Li 0.500 0.500 0.500
Li 0.000 0.000 0.000



! meta-GGA SCAN Li5Co3O8, PBEsol geometry; values from VASP
! - ρ: 4.51 g/cm3
! - Formation energy without anion corrections: -1820 meV/atom
! - Energy: -8.93 eV/atom
! - Distance to the lowest polymorph of the same formula: 8.7 kJ/mol of formula units
&SYSTEM
  ibrav = 0, nat = 16, ntyp = 3
/
ATOMIC_SPECIES
Li 6.94 Li.upf
Co 58.93 Co.upf
O 16.00 O.upf
CELL_PARAMETERS angstrom
5.596 0.000 0.000
2.798 4.847 0.000
2.798 1.616 4.606
ATOMIC_POSITIONS crystal
Li 0.000 0.500 0.000
Li 0.000 0.000 0.000
Li 0.500 0.000 0.000
Li 0.500 0.500 0.000
Li 0.500 0.500 0.500
Co 0.500 0.000 0.500
Co 0.000 0.000 0.500
Co 0.000 0.500 0.500
O 0.750 0.750 0.279
O 0.250 0.778 0.721
O 0.761 0.761 0.718
O 0.222 0.750 0.279
O 0.250 0.250 0.721
O 0.239 0.239 0.282
O 0.778 0.250 0.721
O 0.750 0.222 0.279



! meta-GGA SCAN Li5Co3O8, PBEsol geometry; values from VASP
! - ρ: 4.49 g/cm3
! - Formation energy without anion corrections: -1826 meV/atom
! - Energy: -8.93 eV/atom
! - Distance to the lowest polymorph of the same formula: 0.0 kJ/mol of formula units
&SYSTEM
  ibrav = 0, nat = 16, ntyp = 3
/
ATOMIC_SPECIES
O 16.00 O.upf
Co 58.93 Co.upf
Li 6.94 Li.upf
CELL_PARAMETERS angstrom
4.833 -0.012 0.000
-1.624 4.629 0.000
0.000 0.000 5.622
ATOMIC_POSITIONS crystal
O 0.250 0.780 0.766
O 0.217 0.227 0.500
O 0.759 0.784 0.000
O 0.750 0.220 0.766
O 0.250 0.780 0.234
O 0.750 0.220 0.234
O 0.241 0.216 0.000
O 0.783 0.773 0.500
Co 0.500 0.000 0.000
Co 0.000 0.000 0.746
Co 0.000 0.000 0.254
Li 0.500 0.500 0.741
Li 0.500 0.000 0.500
Li 0.000 0.500 0.000
Li 0.500 0.500 0.259
Li 0.000 0.500 0.500



! meta-GGA SCAN Li11Co2O8, PBEsol geometry; values from VASP
! - ρ: 2.80 g/cm3
! - Formation energy without anion corrections: -1861 meV/atom
! - Energy: -7.13 eV/atom
&SYSTEM
  ibrav = 0, nat = 42, ntyp = 3
/
ATOMIC_SPECIES
Li 6.94 Li.upf
O 16.00 O.upf
Co 58.93 Co.upf
CELL_PARAMETERS angstrom
-5.030 -3.671 -1.675
1.974 0.411 -6.125
5.124 -7.543 1.146
ATOMIC_POSITIONS crystal
Li 0.775 0.225 0.750
Li 0.279 0.723 0.982
Li 0.277 0.721 0.518
Li 0.025 0.518 0.719
Li 0.997 0.503 0.467
Li 0.723 0.279 0.018
Li 0.975 0.482 0.219
Li 0.712 0.712 0.000
Li 0.518 0.025 0.281
Li 0.203 0.211 0.248
Li 0.721 0.277 0.482
Li 0.797 0.789 0.748
Li 0.789 0.797 0.252
Li 0.225 0.775 0.250
Li 0.211 0.203 0.752
Li 0.003 0.497 0.967
Li 0.503 0.997 0.533
Li 0.497 0.003 0.033
Li 0.716 0.716 0.500
Li 0.284 0.284 0.000
Li 0.288 0.288 0.500
Li 0.482 0.975 0.781
O 0.265 0.003 0.400
O 0.483 0.246 0.146
O 0.735 0.997 0.900
O 0.500 0.238 0.648
O 0.500 0.762 0.148
O 0.762 0.500 0.852
O 0.738 0.993 0.408
O 0.997 0.735 0.100
O 0.993 0.738 0.592
O 0.754 0.517 0.354
O 0.262 0.007 0.908
O 0.246 0.483 0.854
O 0.238 0.500 0.352
O 0.517 0.754 0.646
O 0.003 0.265 0.600
O 0.007 0.262 0.092
Co 0.000 0.000 0.000
Co 0.503 0.497 0.250
Co 0.000 0.000 0.500
Co 0.497 0.503 0.750



! meta-GGA SCAN Li7Co2O6, PBEsol geometry; values from VASP
! - ρ: 3.19 g/cm3
! - Formation energy without anion corrections: -1769 meV/atom
! - Energy: -7.68 eV/atom
&SYSTEM
  ibrav = 0, nat = 15, ntyp = 3
/
ATOMIC_SPECIES
O 16.00 O.upf
Li 6.94 Li.upf
Co 58.93 Co.upf
CELL_PARAMETERS angstrom
5.231 0.006 0.048
0.730 5.262 0.010
0.319 2.628 4.972
ATOMIC_POSITIONS crystal
O 0.729 0.540 0.871
O 0.729 0.893 0.165
O 0.201 0.130 0.822
O 0.690 0.151 0.518
O 0.274 0.735 0.518
O 0.201 0.434 0.215
Li 0.516 0.863 0.914
Li 0.086 0.066 0.518
Li 0.109 0.837 0.172
Li 0.516 0.258 0.123
Li 0.832 0.199 0.822
Li 0.832 0.503 0.214
Li 0.109 0.491 0.865
Co 0.385 0.387 0.518
Co 0.628 0.780 0.518



! meta-GGA SCAN Li5Co3O8, PBEsol geometry; values from VASP
! - ρ: 4.50 g/cm3
! - Formation energy without anion corrections: -1826 meV/atom
! - Energy: -8.93 eV/atom
! - Distance to the lowest polymorph of the same formula: 0.1 kJ/mol of formula units
&SYSTEM
  ibrav = 0, nat = 16, ntyp = 3
/
ATOMIC_SPECIES
O 16.00 O.upf
Li 6.94 Li.upf
Co 58.93 Co.upf
CELL_PARAMETERS angstrom
4.831 -0.026 -0.005
0.819 4.820 0.006
0.016 1.647 5.371
ATOMIC_POSITIONS crystal
O 0.102 0.226 0.942
O 0.898 0.774 0.058
O 0.639 0.223 0.209
O 0.868 0.784 0.554
O 0.641 0.220 0.678
O 0.132 0.216 0.446
O 0.359 0.780 0.322
O 0.361 0.777 0.791
Li 0.745 0.505 0.370
Li 0.738 0.497 0.879
Li 0.500 0.000 0.000
Li 0.262 0.503 0.121
Li 0.255 0.495 0.630
Co 0.000 0.001 0.246
Co 0.500 0.000 0.500
Co 0.000 0.999 0.754



! meta-GGA SCAN Li2CoO3, PBEsol geometry; values from VASP
! - ρ: 4.25 g/cm3
! - Formation energy without anion corrections: -1797 meV/atom
! - Energy: -8.59 eV/atom
&SYSTEM
  ibrav = 0, nat = 12, ntyp = 3
/
ATOMIC_SPECIES
Li 6.94 Li.upf
O 16.00 O.upf
Co 58.93 Co.upf
CELL_PARAMETERS angstrom
-0.479 0.581 -4.782
2.727 -3.604 1.733
-4.475 -1.767 1.068
ATOMIC_POSITIONS crystal
Li 0.839 0.161 0.500
Li 0.000 0.000 0.000
Li 0.161 0.839 0.500
Li 0.500 0.500 0.500
O 0.436 0.075 0.222
O 0.075 0.436 0.222
O 0.284 0.284 0.774
O 0.925 0.564 0.778
O 0.716 0.716 0.226
O 0.564 0.925 0.778
Co 0.667 0.333 0.000
Co 0.333 0.667 0.000



! meta-GGA SCAN Li6CoO4, PBEsol geometry; values from VASP
! - ρ: 2.83 g/cm3
! - Formation energy without anion corrections: -1881 meV/atom
! - Energy: -7.02 eV/atom
&SYSTEM
  ibrav = 0, nat = 22, ntyp = 3
/
ATOMIC_SPECIES
Li 6.94 Li.upf
Co 58.93 Co.upf
O 16.00 O.upf
CELL_PARAMETERS angstrom
-3.666 2.116 -1.828
-3.755 -4.951 1.799
-1.138 2.920 5.660
ATOMIC_POSITIONS crystal
Li 0.000 0.717 0.717
Li 0.554 0.000 0.500
Li 0.500 0.783 0.783
Li 0.500 0.783 0.217
Li 0.000 0.283 0.717
Li 0.500 0.217 0.783
Li 0.000 0.717 0.283
Li 0.054 0.000 0.500
Li 0.946 0.500 0.000
Li 0.500 0.217 0.217
Li 0.000 0.283 0.283
Li 0.446 0.500 0.000
Co 0.500 0.500 0.500
Co 0.000 0.000 0.000
O 0.210 0.736 0.000
O 0.790 0.000 0.264
O 0.710 0.500 0.764
O 0.290 0.764 0.500
O 0.210 0.264 0.000
O 0.290 0.236 0.500
O 0.790 0.000 0.736
O 0.710 0.500 0.236



! meta-GGA SCAN Li5Co3O8, PBEsol geometry; values from VASP
! - ρ: 4.52 g/cm3
! - Formation energy without anion corrections: -1824 meV/atom
! - Energy: -8.93 eV/atom
! - Distance to the lowest polymorph of the same formula: 2.9 kJ/mol of formula units
&SYSTEM
  ibrav = 0, nat = 16, ntyp = 3
/
ATOMIC_SPECIES
Co 58.93 Co.upf
O 16.00 O.upf
Li 6.94 Li.upf
CELL_PARAMETERS angstrom
-0.084 4.151 -2.553
-5.555 0.306 0.679
3.408 0.857 4.358
ATOMIC_POSITIONS crystal
Co 0.000 0.500 0.000
Co 0.000 0.500 0.500
Co 0.000 0.000 0.500
O 0.778 0.610 0.750
O 0.217 0.370 0.739
O 0.777 0.138 0.277
O 0.778 0.140 0.750
O 0.222 0.390 0.250
O 0.223 0.862 0.723
O 0.783 0.630 0.261
O 0.222 0.860 0.250
Li 0.500 0.763 0.000
Li 0.501 0.753 0.507
Li 0.500 0.237 0.000
Li 0.499 0.247 0.493
Li 0.000 0.000 0.000



! meta-GGA SCAN Li4Co3O7, PBEsol geometry; values from VASP
! - ρ: 4.76 g/cm3
! - Formation energy without anion corrections: -1831 meV/atom
! - Energy: -9.34 eV/atom
! - Distance to the lowest polymorph of the same formula: 20.4 kJ/mol of formula units
&SYSTEM
  ibrav = 0, nat = 28, ntyp = 3
/
ATOMIC_SPECIES
O 16.00 O.upf
Li 6.94 Li.upf
Co 58.93 Co.upf
CELL_PARAMETERS angstrom
2.808 0.000 0.000
0.000 5.648 0.012
-1.404 -1.510 13.916
ATOMIC_POSITIONS crystal
O 0.711 0.627 0.423
O 0.572 0.060 0.145
O 0.006 0.255 0.012
O 0.289 0.373 0.577
O 0.860 0.659 0.721
O 0.853 0.204 0.707
O 0.717 0.084 0.435
O 0.575 0.511 0.151
O 0.425 0.489 0.849
O 0.283 0.916 0.565
O 0.994 0.745 0.988
O 0.140 0.341 0.279
O 0.428 0.940 0.855
O 0.147 0.796 0.293
Li 0.358 0.934 0.716
Li 0.065 0.791 0.131
Li 0.642 0.066 0.284
Li 0.214 0.355 0.428
Li 0.500 0.500 0.000
Li 0.500 0.000 0.000
Li 0.935 0.209 0.869
Li 0.786 0.645 0.572
Co 0.214 0.856 0.429
Co 0.786 0.144 0.571
Co 0.357 0.431 0.714
Co 0.930 0.722 0.860
Co 0.070 0.278 0.140
Co 0.643 0.569 0.286



! meta-GGA SCAN Li2CoP4O12, PBEsol geometry; values from VASP
! - ρ: 2.79 g/cm3
! - Formation energy without anion corrections: -2310 meV/atom
! - Energy: -9.60 eV/atom
! - Distance to the lowest polymorph of the same formula: 50.0 kJ/mol of formula units
&SYSTEM
  ibrav = 0, nat = 38, ntyp = 4
/
ATOMIC_SPECIES
P 30.97 P.upf
O 16.00 O.upf
Li 6.94 Li.upf
Co 58.93 Co.upf
CELL_PARAMETERS angstrom
7.373 0.053 0.000
-2.740 7.081 0.000
0.000 0.000 8.850
ATOMIC_POSITIONS crystal
P 0.809 0.294 0.590
P 0.338 0.100 0.303
P 0.309 0.794 0.910
P 0.662 0.900 0.697
P 0.162 0.400 0.803
P 0.191 0.706 0.410
P 0.838 0.600 0.197
P 0.691 0.206 0.090
O 0.543 0.182 0.226
O 0.711 0.435 0.615
O 0.840 0.730 0.067
O 0.850 0.407 0.135
O 0.160 0.270 0.933
O 0.602 0.219 0.943
O 0.898 0.281 0.443
O 0.830 0.926 0.800
O 0.170 0.074 0.200
O 0.150 0.593 0.865
O 0.670 0.574 0.300
O 0.350 0.907 0.365
O 0.289 0.565 0.385
O 0.398 0.781 0.057
O 0.102 0.719 0.557
O 0.660 0.770 0.567
O 0.957 0.318 0.726
O 0.789 0.065 0.115
O 0.043 0.682 0.274
O 0.211 0.935 0.885
O 0.340 0.230 0.433
O 0.330 0.426 0.700
O 0.650 0.093 0.635
O 0.457 0.818 0.774
Li 0.119 0.298 0.338
Li 0.619 0.798 0.162
Li 0.381 0.202 0.838
Li 0.881 0.702 0.662
Co 0.000 0.000 0.000
Co 0.500 0.500 0.500